Entry from Alexandria via LeMat-Bulk: crystalline Zr2GeP at its relaxed geometry (PBE).

Summary:
Distance to the lowest polymorph of the same formula in eV/atom: 0.071
Calculated density in g cm⁻³: 6.00
N(E_F) in states/eV/cell: 3.23

The structure in POSCAR format:
```
Zr2GeP
1.0
-1.1251 1.4605 -3.1970
-3.4124 -0.6702 -1.2354
-3.7594 5.6832 1.7891
Zr P Ge
2 1 1
direct
0.0738 0.0738 0.7786 Zr
0.2593 0.2593 0.2220 Zr
0.6678 0.6678 0.9965 P
0.4990 0.4990 0.5029 Ge
```

Entry from Alexandria via LeMat-Bulk: crystalline Pa4Ge3 at its relaxed geometry (PBE).

Summary:
Distance to the lowest polymorph of the same formula in eV/atom: 0.000
Calculated density in g cm⁻³: 11.57
N(E_F) in states/eV/cell: 30.72

The structure in POSCAR format:
```
Pa4Ge3
1.0
7.0923 0.0000 -2.5075
-3.5462 6.1421 -2.5075
0.0000 0.0000 7.5226
Ge Pa
6 8
direct
0.6250 0.7500 0.8750 Ge
0.8750 0.2500 0.6250 Ge
0.7500 0.6250 0.3750 Ge
0.3750 0.1250 0.7500 Ge
0.2500 0.8750 0.1250 Ge
0.1250 0.3750 0.2500 Ge
0.0000 0.0000 0.8508 Pa
0.3508 0.5000 0.0000 Pa
0.8508 0.5000 0.0000 Pa
0.0000 0.0000 0.3508 Pa
0.5000 0.3508 0.5000 Pa
0.6492 0.1492 0.1492 Pa
0.5000 0.8508 0.5000 Pa
0.1492 0.6492 0.6492 Pa
```

Entry from Alexandria via LeMat-Bulk: crystalline Pa4Ge3 at its relaxed geometry (PBE).

Summary:
Distance to the lowest polymorph of the same formula in eV/atom: 0.209
Calculated density in g cm⁻³: 11.06
N(E_F) in states/eV/cell: 14.67

The structure in POSCAR format:
```
Pa4Ge3
1.0
-2.0884 -2.3897 -2.5904
-3.2870 -2.0623 1.3132
-8.6780 7.6572 -3.3069
Pa Ge
4 3
direct
0.8812 0.8812 0.3565 Pa
0.3108 0.3108 0.0677 Pa
0.6892 0.6892 0.9323 Pa
0.1188 0.1188 0.6435 Pa
0.4037 0.4037 0.7889 Ge
0.5963 0.5963 0.2111 Ge
0.5000 0.5000 0.5000 Ge
```

Entry from Alexandria via LeMat-Bulk: crystalline Pa7Ge at its relaxed geometry (PBE).

Summary:
Calculated density in g cm⁻³: 14.79
N(E_F) in states/eV/cell: 13.21

The structure in POSCAR format:
```
Pa7Ge
1.0
-0.8938 4.6652 -4.3641
-3.1445 -1.2748 -5.4858
-5.8999 2.4192 -0.9726
Ge Pa
1 7
direct
0.0000 0.0000 0.0000 Ge
0.0000 0.5000 0.0000 Pa
0.5000 0.5000 0.0000 Pa
0.0000 0.0000 0.5000 Pa
0.0000 0.5000 0.5000 Pa
0.5000 0.0000 0.5000 Pa
0.5000 0.0000 0.0000 Pa
0.5000 0.5000 0.5000 Pa
```

| no. | formation enthalpy at 0 K (eV per atom) | E_tot (eV per atom) |
| --- | --- | --- |
| 1 | -0.97 | -7.7511 |
| 2 | -0.38 | -7.7822 |
| 3 | -0.17 | -7.5730 |
| 4 | -0.19 | -9.0780 |